1.
DFT (GGA-PBEsol) results for an optimized crystal structure of RbInMo2O8.

The structure belongs to space group P-3m1 (No. 164); the cell edges are 5.8471, 5.8471 and 7.5813 Å and the angles 90.00°, 90.00° and 120.00°. Symmetry generates all atoms from Rb at (0.0000, 0.0000, 0.0000), In at (0.0000, 0.0000, 0.5000), Mo at (0.3333, 0.6667, 0.7441), O at (0.1666, 0.3332, 0.6716) and O at (0.3333, 0.6667, 0.9706).

The calculation puts the density of states at the Fermi level at 0.00 states/eV per atom.

---

2.
DFT (GGA-PBEsol) results for an optimized crystal structure of Ta2InMoO.

The structure belongs to space group P4/mmm (No. 123); the cell edges are 4.230, 4.230 and 4.189 Å and the angles 90.00°, 90.00° and 90.00°. Symmetry generates all atoms from Ta at (0.000, 0.500, 0.000), In at (0.000, 0.000, 0.500), Mo at (0.500, 0.500, 0.500) and O at (0.500, 0.500, 0.000).

The calculation puts the density of states at the Fermi level at 0.56 states/eV per atom.

---

Calculated formation energy from raw total energies (eV/atom), listed in the same order as above: -1.9670, -0.4595